# 1
Compound: LaTlGa2Ru
Source: Alexandria via LeMat-Bulk
Functional: PBE-GGA
Structure: optimized geometry

## Properties
Its magnetic moment is 0.0 Bohr magnetons per cell. For the density of states at the Fermi level, the calculation gives 4.02 states/eV per cell. The crystal system is tetragonal. The calculation puts the total energy at -4.8074 eV per atom.

a = 4.946 Å, b = 4.946 Å, c = 5.239 Å
α = 90.00°, β = 90.00°, γ = 90.00°
Space group P4/mmm (No. 123)
Unique sites:
La: 0.000 0.000 0.000 x1
Tl: 0.500 0.500 0.000 x1
Ga: 0.000 0.500 0.500 x2
Ru: 0.000 0.000 0.500 x1

# 2
Compound: TaSi2Tc
Source: Alexandria via LeMat-Bulk
Functional: PBE-GGA
Structure: optimized geometry

## Properties
Its magnetic moment is 0.0 Bohr magnetons per cell. For the density of states at the Fermi level, the calculation gives 1.98 states/eV per cell. The crystal system is orthorhombic. For the raw formation energy, the calculation gives -0.393 eV/atom. The calculation puts the total energy at -8.6589 eV per atom. The calculation puts the energy above the lowest structure with this stoichiometry at 0.0995 eV per atom.

a = 4.229 Å, b = 3.039 Å, c = 9.052 Å
α = 90.00°, β = 90.00°, γ = 90.00°
Space group Amm2 (No. 38)
Unique sites:
Ta: 0.000 0.000 0.000 x2
Si: 0.000 0.000 0.270 x2
Si: 0.500 0.000 0.443 x2
Tc: 0.500 0.000 0.724 x2

# 3
Compound: YBe2Zn2
Source: Alexandria via LeMat-Bulk
Functional: PBE-GGA
Structure: optimized geometry

## Properties
Its magnetic moment is 0.0 Bohr magnetons per cell. For the density of states at the Fermi level, the calculation gives 4.57 states/eV per cell. The crystal system is tetragonal. The calculation puts the total energy at -3.4374 eV per atom. The calculation puts the energy above the lowest structure with this stoichiometry at 0.0000 eV per atom.

a = 4.025 Å, b = 4.025 Å, c = 9.513 Å
α = 90.00°, β = 90.00°, γ = 90.00°
Space group I4/mmm (No. 139)
Unique sites:
Y: 0.000 0.000 0.000 x2
Be: 0.000 0.500 0.250 x4
Zn: 0.000 0.000 0.369 x4

# 4
Compound: SmInCl6
Source: Alexandria via LeMat-Bulk
Functional: PBE-GGA
Structure: optimized geometry

## Properties
Its magnetic moment is 0.0 Bohr magnetons per cell. For the density of states at the Fermi level, the calculation gives 0.00 states/eV per cell. The crystal system is monoclinic. For the raw formation energy, the calculation gives -1.628 eV/atom. The calculation puts the total energy at -3.9451 eV per atom.

a = 6.570 Å, b = 12.484 Å, c = 6.556 Å
α = 90.00°, β = 106.61°, γ = 90.00°
Space group C2/m (No. 12)
Unique sites:
Sm: 0.000 0.000 0.000 x2
In: 0.000 0.500 0.500 x2
Cl: 0.231 0.358 0.735 x8
Cl: 0.248 0.500 0.257 x4